## NaLi2TaSi (PBE)

Data for a relaxed structure of NaLi2TaSi.

Computed properties:
Formation energy from raw total energies, kJ per mole of atoms: 117.6
Theoretical density, g/cm3: 3.62
E_tot, eV for the cell shown: -16.33

Cell: 4.6784 4.6784 5.1486 Å, 90.00 90.00 90.00°
Last column: nearest neighbours and their distance in Å.
Sites, in units of the cell vectors:
Na 0.0000 0.0000 0.0000  2 Si 2.57
Li 0.0000 0.5000 0.5000  2 Si 2.34
Li 0.5000 0.0000 0.5000  2 Si 2.34
Ta 0.5000 0.5000 0.0000  4 Na 3.31, 8 Li 3.48
Si 0.0000 0.0000 0.5000  4 Li 2.34, 2 Na 2.57



## NaLiSi2Tc (PBE)

Data for a relaxed structure of NaLiSi2Tc.

Computed properties:
Formation energy from raw total energies, kJ per mole of atoms: 138.2
Theoretical density, g/cm3: 3.75
Energy relative to the lowest polymorph listed for this composition, eV/atom: 1.145
E_tot, eV for the cell shown: -17.29

Cell: 4.7583 4.7583 3.5984 Å, 90.00 90.00 90.00°
Last column: nearest neighbours and their distance in Å.
Sites, in units of the cell vectors:
Na 0.0000 0.0000 0.0000  2 Li 1.80
Li 0.0000 0.0000 0.5000  2 Na 1.80
Si 0.0000 0.5000 0.0000  2 Na 2.38
Si 0.5000 0.0000 0.0000  2 Na 2.38
Tc 0.5000 0.5000 0.5000  8 Si 2.98



## NaLiSi2Tc (PBE)

Data for a relaxed structure of NaLiSi2Tc.

Computed properties:
Formation energy from raw total energies, kJ per mole of atoms: 27.7
Theoretical density, g/cm3: 2.66
Energy relative to the lowest polymorph listed for this composition, eV/atom: 0.000
E_tot, eV for the cell shown: -23.01

Cell: 4.6045 4.6045 5.4295 Å, 90.00 90.00 90.00°
Last column: nearest neighbours and their distance in Å.
Sites, in units of the cell vectors:
Na 0.0000 0.0000 0.0000  2 Tc 2.71
Li 0.5000 0.5000 0.0000  4 Na 3.26, 8 Si 3.56
Si 0.0000 0.5000 0.5000  2 Tc 2.30
Si 0.5000 0.0000 0.5000  2 Tc 2.30
Tc 0.0000 0.0000 0.5000  4 Si 2.30



## NaLi2SiTe4 (PBE)

Data for a relaxed structure of NaLi2SiTe4.

Computed properties:
Formation energy from raw total energies, kJ per mole of atoms: -43.8
Theoretical density, g/cm3: 4.44
E_tot, eV for the cell shown: -53.54

Cell: 8.5621 8.5621 10.3741 Å, 126.83 126.83 48.72°
Last column: nearest neighbours and their distance in Å.
Sites, in units of the cell vectors:
Na 0.0000 0.0000 0.0000  6 Te 3.12-3.33, 1 Li 3.26
Na 0.9975 0.0025 0.5000  6 Te 3.12-3.33, 1 Li 3.25
Li 0.1942 0.2745 0.4581  4 Te 2.86-3.09
Li 0.4574 0.5426 0.5000  6 Te 2.90-3.14, 1 Na 3.25
Li 0.4614 0.5386 0.0000  6 Te 2.91-3.11, 1 Na 3.26
Li 0.7255 0.8058 0.5419  4 Te 2.86-3.09
Si 0.5039 0.0836 0.0447  5 Te 2.66-2.71
Si 0.9164 0.4961 0.9553  5 Te 2.66-2.71
Te 0.1931 0.6906 0.6928  4 Li 2.86-3.06
Te 0.2147 0.3038 0.1990  2 Si 2.69-2.71, 2 Li 2.90-2.96
Te 0.2183 0.2978 0.8221  2 Si 2.66-2.67, 1 Li 2.91
Te 0.3094 0.8069 0.3072  4 Li 2.86-3.06
Te 0.6826 0.2737 0.7291  1 Si 2.68
Te 0.6962 0.7853 0.8010  2 Si 2.69-2.71, 2 Li 2.90-2.96
Te 0.7022 0.7817 0.1779  2 Si 2.66-2.67, 1 Li 2.91
Te 0.7263 0.3174 0.2709  1 Si 2.68